SrScB: optimized geometry, PBE-GGA.

The calculation puts the total magnetization at 0.0 μB/cell. The value obtained for the energy above the most stable polymorph in this dataset is 0 meV/atom. For the density, the calculation gives 3.31 g/cm³. The energy of formation is -0.14 eV/atom. The calculation puts the calculated volume at 24.00 A^3/atom.

The structure belongs to space group P-1 (No. 2); the cell edges are 3.267, 3.513 and 12.670 Å and the angles 82.07°, 89.91° and 90.00°. Symmetry generates all atoms from Sr at (0.248, 0.324, 0.358), Sc at (0.251, 0.054, 0.892) and B at (0.250, 0.486, 0.028).

Tb12In6Sn: optimized geometry, PBE-GGA.

The calculation puts the total magnetization at 0.0 μB/cell. For the density, the calculation gives 7.85 g/cm³. The energy of formation is -0.18 eV/atom. The calculation puts the calculated volume at 30.24 A^3/atom.

The structure belongs to space group R-3 (No. 148, hexagonal axes); the cell edges are 14.2641, 14.2641 and 9.7823 Å and the angles 90.00°, 90.00° and 120.00°. Symmetry generates all atoms from Tb at (0.0529, 0.8052, 0.4150), Tb at (0.0547, 0.8539, 0.7683), In at (0.0646, 0.8213, 0.0848) and Sn at (0.0000, 0.0000, 0.5000).

CeErMg14: optimized geometry, PBE-GGA.

The calculation puts the total magnetization at 1.2 μB/cell. For the density, the calculation gives 2.79 g/cm³. The energy of formation is 0.00 eV/atom. The calculation puts the calculated volume at 24.08 A^3/atom.

The structure belongs to space group P4/mmm (No. 123); the cell edges are 6.903, 6.903 and 8.084 Å and the angles 90.00°, 90.00° and 90.00°. Symmetry generates all atoms from Ce at (0.000, 0.000, 0.000), Er at (0.500, 0.500, 0.000), Mg at (0.000, 0.000, 0.500), Mg at (0.000, 0.500, 0.000), Mg at (0.000, 0.500, 0.500), Mg at (0.253, 0.253, 0.262) and Mg at (0.500, 0.500, 0.500).

ZrIrW2: optimized geometry, PBE-GGA.

The calculation puts the total magnetization at 0.0 μB/cell. The value obtained for the energy above the most stable polymorph in this dataset is 88 meV/atom. For the density, the calculation gives 15.97 g/cm³. The energy of formation is -0.04 eV/atom. The calculation puts the calculated volume at 16.93 A^3/atom.

The structure belongs to space group Pm (No. 6); the cell edges are 2.825, 4.500 and 5.419 Å and the angles 90.00°, 100.61° and 90.00°. Symmetry generates all atoms from Zr at (0.000, 0.000, 0.000), Ir at (0.720, 0.500, 0.245), W at (0.257, 0.500, 0.725) and W at (0.472, 0.000, 0.507).